# GGA+U Nd2FePbO6, relaxed
data_Nd2FePbO6
_chemical_formula_sum 'Nd4 Fe2 Pb2 O12'
_cell_length_a 10.205
_cell_length_b 5.797
_cell_length_c 5.706
_cell_angle_alpha 90.00
_cell_angle_beta 122.33
_cell_angle_gamma 90.00
_space_group_name_H-M_alt 'C 1 2/m 1'
_space_group_IT_number 12
loop_
_space_group_symop_operation_xyz
'x,y,z'
'-x,-y,-z'
'-x,y,-z'
'x,-y,z'
'x+1/2,y+1/2,z'
'-x+1/2,-y+1/2,-z'
'-x+1/2,y+1/2,-z'
'x+1/2,-y+1/2,z'
loop_
_atom_site_label
_atom_site_type_symbol
_atom_site_fract_x
_atom_site_fract_y
_atom_site_fract_z
Nd1 Nd 0.248 0.000 0.214
Fe1 Fe 0.000 0.500 0.000
Pb1 Pb 0.000 0.000 0.500
O1 O 0.078 0.253 0.836
O2 O 0.245 0.000 0.617
# spin magnetization	0.40	μB per atom
# energy	-0.2590	hartree per atom